Cs2LaHg2Se4 after structural relaxation, computed with GGA-PBE.

Calculated total energy: -3.382 eV per atom
Volume: 311.02 Å³/f.u.
Formation energy (no corrections): -1.029 eV/atom
Size of the total moment: 0.00 μB per cell
D(E_F): 4.02 states/eV/f.u.

Unit cell a=8.814 b=8.814 c=8.891 alpha=111.07 beta=111.07 gamma=29.01
Atoms (fractional coordinates):
Cs: 0.129 0.129 0.067
Cs: 0.871 0.871 0.933
La: 0.000 0.000 0.500
Hg: 0.312 0.312 0.487
Hg: 0.688 0.688 0.513
Se: 0.188 0.188 0.710
Se: 0.475 0.475 0.715
Se: 0.525 0.525 0.285
Se: 0.812 0.812 0.290


CsLa2TaHg after structural relaxation, computed with GGA-PBE.

Calculated formation energy: 0.479 eV per atom
Calculated total energy: -4.094 eV per atom
Volume: 184.57 Å³/f.u.
Size of the total moment: 0.00 μB per cell
D(E_F): 6.20 states/eV/f.u.

Unit cell a=5.656 b=5.656 c=5.770 alpha=90.00 beta=90.00 gamma=90.00
Atoms (fractional coordinates):
Cs: 0.000 0.000 0.000
La: 0.000 0.500 0.500
La: 0.500 0.000 0.500
Ta: 0.500 0.500 0.500
Hg: 0.500 0.500 0.000


Cs2LaHg2Te4 after structural relaxation, computed with GGA-PBE.

Calculated total energy: -3.080 eV per atom
Volume: 368.84 Å³/f.u.
Formation energy (no corrections): -0.879 eV/atom
Size of the total moment: 0.00 μB per cell
D(E_F): 0.53 states/eV/f.u.

Unit cell a=9.025 b=9.025 c=8.816 alpha=107.63 beta=107.63 gamma=32.78
Atoms (fractional coordinates):
Cs: 0.134 0.134 0.081
Cs: 0.866 0.866 0.919
La: 0.000 0.000 0.500
Hg: 0.333 0.333 0.496
Hg: 0.667 0.667 0.504
Te: 0.199 0.199 0.672
Te: 0.496 0.496 0.739
Te: 0.504 0.504 0.261
Te: 0.801 0.801 0.328


CsLi2Hg2 after structural relaxation, computed with GGA-PBE.

Calculated formation energy: -0.112 eV per atom
Calculated total energy: -1.169 eV per atom
Distance to the lowest polymorph of the same formula: 26 kJ/mol of formula units
Volume: 146.36 Å³/f.u.
Size of the total moment: 0.00 μB per cell
D(E_F): 2.57 states/eV/f.u.

Unit cell a=9.167 b=9.167 c=3.483 alpha=90.00 beta=90.00 gamma=90.00
Atoms (fractional coordinates):
Cs: 0.000 0.000 0.000
Cs: 0.500 0.500 0.000
Li: 0.122 0.378 0.500
Li: 0.378 0.878 0.500
Li: 0.622 0.122 0.500
Li: 0.878 0.622 0.500
Hg: 0.143 0.643 0.000
Hg: 0.357 0.143 0.000
Hg: 0.643 0.857 0.000
Hg: 0.857 0.357 0.000